1.
Entry from Alexandria via LeMat-Bulk: crystalline Al3ReN at its relaxed geometry (GGA-PBE).

Lattice parameters (Å, degrees): 4.813 4.813 4.813 90.00 90.00 90.00
Space group Pm-3m (No. 221)
Symmetry-distinct sites (fractional):
Al1 0.000 0.000 0.500 (multiplicity 3)
Re1 0.000 0.000 0.000 (multiplicity 1)
N1 0.500 0.500 0.500 (multiplicity 1)

Calculated values
- Uncorrected formation energy: 1.322 eV/atom
- Calculated volume: 112 Å³/cell
- Energy above the lowest structure with this stoichiometry: 1393 meV/atom

2.
Entry from Alexandria via LeMat-Bulk: crystalline SmV2Cl8 at its relaxed geometry (GGA-PBE).

Lattice parameters (Å, degrees): 12.589 9.413 6.401 90.00 93.94 90.00
Space group C2/m (No. 12)
Symmetry-distinct sites (fractional):
Sm1 0.000 0.000 0.000 (multiplicity 2)
V1 0.204 0.000 0.644 (multiplicity 4)
Cl1 0.102 0.188 0.756 (multiplicity 8)
Cl2 0.133 0.500 0.210 (multiplicity 4)
Cl3 0.175 0.000 0.276 (multiplicity 4)

Calculated values
- Uncorrected formation energy: -1.412 eV/atom
- Calculated volume: 757 Å³/cell

3.
Entry from Alexandria via LeMat-Bulk: crystalline Ir2OsBr at its relaxed geometry (GGA-PBE).

Lattice parameters (Å, degrees): 6.306 6.306 8.870 90.00 90.00 90.00
Space group I-42d (No. 122)
Symmetry-distinct sites (fractional):
Ir1 0.220 0.250 0.125 (multiplicity 8)
Os1 0.000 0.000 0.000 (multiplicity 4)
Br1 0.000 0.000 0.500 (multiplicity 4)

Calculated values
- Uncorrected formation energy: 1.096 eV/atom
- Calculated volume: 353 Å³/cell
- Energy above the lowest structure with this stoichiometry: 489 meV/atom

4.
Entry from Alexandria via LeMat-Bulk: crystalline LiMg2Co at its relaxed geometry (GGA-PBE).

Lattice parameters (Å, degrees): 2.824 4.185 5.601 90.00 90.00 90.00
Space group Pmm2 (No. 25)
Symmetry-distinct sites (fractional):
Li1 0.000 0.000 0.000 (multiplicity 1)
Mg1 0.000 0.000 0.553 (multiplicity 1)
Mg2 0.500 0.500 0.243 (multiplicity 1)
Co1 0.500 0.500 0.752 (multiplicity 1)

Calculated values
- Calculated volume: 66 Å³/cell
- DFT formation energy: 188 meV per atom

5.
Entry from Alexandria via LeMat-Bulk: crystalline GaPHPtS at its relaxed geometry (GGA-PBE).

Lattice parameters (Å, degrees): 9.509 3.541 6.961 90.00 130.25 90.00
Space group Cm (No. 8)
Symmetry-distinct sites (fractional):
Ga1 0.000 0.000 0.000 (multiplicity 2)
P1 0.157 0.000 0.449 (multiplicity 2)
H1 0.332 0.000 0.503 (multiplicity 2)
Pt1 0.159 0.500 0.661 (multiplicity 2)
S1 0.163 0.500 0.008 (multiplicity 2)

Calculated values
- Calculated volume: 179 Å³/cell
- Energy above the lowest structure with this stoichiometry: 18 meV/atom

6.
Entry from Alexandria via LeMat-Bulk: crystalline ZrReSi2 at its relaxed geometry (GGA-PBE).

Lattice parameters (Å, degrees): 3.133 4.976 8.395 90.00 90.00 90.00
Space group Immm (No. 71)
Symmetry-distinct sites (fractional):
Zr1 0.000 0.000 0.000 (multiplicity 2)
Re1 0.000 0.000 0.500 (multiplicity 2)
Si1 0.000 0.500 0.230 (multiplicity 4)

Calculated values
- Uncorrected formation energy: -0.135 eV/atom
- Calculated volume: 131 Å³/cell

7.
Entry from Alexandria via LeMat-Bulk: crystalline PmTmTeC at its relaxed geometry (GGA-PBE).

Lattice parameters (Å, degrees): 3.8391 3.8391 21.4652 90.00 90.00 120.00
Space group R3m (No. 160, hexagonal axes)
Symmetry-distinct sites (fractional):
Pm1 0.0000 0.0000 0.0000 (multiplicity 3)
Tm1 0.0000 0.0000 0.7912 (multiplicity 3)
Te1 0.0000 0.0000 0.2243 (multiplicity 3)
C1 0.0000 0.0000 0.3988 (multiplicity 3)

Calculated values
- Uncorrected formation energy: -0.803 eV/atom
- Calculated volume: 274 Å³/cell

8.
Entry from Alexandria via LeMat-Bulk: crystalline NpReB2 at its relaxed geometry (GGA-PBE).

Lattice parameters (Å, degrees): 5.706 5.371 6.489 90.00 90.00 90.00
Space group Pnma (No. 62)
Symmetry-distinct sites (fractional):
Np1 0.002 0.250 0.168 (multiplicity 4)
Re1 0.187 0.250 0.686 (multiplicity 4)
B1 0.136 0.581 0.465 (multiplicity 8)

Calculated values
- Calculated volume: 199 Å³/cell
- DFT formation energy: -321 meV per atom
- Energy above the lowest structure with this stoichiometry: 0 meV/atom

9.
Entry from Alexandria via LeMat-Bulk: crystalline Sm2GeH at its relaxed geometry (GGA-PBE).

Lattice parameters (Å, degrees): 4.092 6.370 13.310 90.00 90.00 90.00
Space group Immm (No. 71)
Symmetry-distinct sites (fractional):
Sm1 0.000 0.000 0.200 (multiplicity 4)
Sm2 0.000 0.230 0.500 (multiplicity 4)
Ge1 0.000 0.500 0.139 (multiplicity 4)
H1 0.000 0.500 0.391 (multiplicity 4)

Calculated values
- Calculated volume: 347 Å³/cell
- Energy above the lowest structure with this stoichiometry: 0 meV/atom

10.
Entry from Alexandria via LeMat-Bulk: crystalline Pa2NiSe at its relaxed geometry (GGA-PBE).

Lattice parameters (Å, degrees): 3.699 22.556 4.139 90.00 90.00 90.00
Space group Cmcm (No. 63)
Symmetry-distinct sites (fractional):
Pa1 0.000 0.066 0.250 (multiplicity 4)
Pa2 0.000 0.329 0.250 (multiplicity 4)
Ni1 0.000 0.463 0.250 (multiplicity 4)
Se1 0.000 0.198 0.250 (multiplicity 4)

Calculated values
- Uncorrected formation energy: -0.681 eV/atom
- Calculated volume: 345 Å³/cell
- Energy above the lowest structure with this stoichiometry: 0 meV/atom

11.
Entry from Alexandria via LeMat-Bulk: crystalline AcNd6HoEr2 at its relaxed geometry (GGA-PBE).

Lattice parameters (Å, degrees): 9.435 15.431 9.731 90.00 95.70 90.00
Space group C2/c (No. 15)
Symmetry-distinct sites (fractional):
Ac1 0.000 0.030 0.250 (multiplicity 4)
Nd1 0.062 0.182 0.946 (multiplicity 8)
Nd2 0.098 0.389 0.117 (multiplicity 8)
Nd3 0.221 0.227 0.317 (multiplicity 8)
Ho1 0.000 0.413 0.750 (multiplicity 4)
Er1 0.240 0.447 0.452 (multiplicity 8)

Calculated values
- Calculated volume: 1410 Å³/cell
- DFT formation energy: 120 meV per atom

12.
Entry from Alexandria via LeMat-Bulk: crystalline SmMnTcGe2 at its relaxed geometry (GGA-PBE).

Lattice parameters (Å, degrees): 4.073 4.073 10.966 90.00 90.00 90.00
Space group I-4m2 (No. 119)
Symmetry-distinct sites (fractional):
Sm1 0.000 0.000 0.000 (multiplicity 2)
Mn1 0.000 0.500 0.750 (multiplicity 2)
Tc1 0.000 0.500 0.250 (multiplicity 2)
Ge1 0.000 0.000 0.381 (multiplicity 4)

Calculated values
- Calculated volume: 182 Å³/cell
- DFT formation energy: -481 meV per atom

no.,total magnetic moment (μB per formula unit)
1,2.68
2,5.00
3,0.00
4,1.09
5,0.00
6,0.00
7,0.00
8,2.58
9,0.00
10,0.00
11,0.00
12,2.78